(1)
Here is crystalline Ce2Y5Ho12 at its relaxed geometry from Alexandria. Energies are from PBE.

Geometry as extended XYZ:
```
19
Lattice="7.7387 -4.5587 0.0000 7.7387 4.5587 0.0000 -0.4271 0.0000 8.5926" Properties=species:S:1:pos:R:3 pbc="T T T"
Ce 7.7387 3.1909 0.0000
Ce 7.7387 -3.1909 0.0000
Y 3.3078 0.0000 0.3307
Y 3.9609 0.0000 3.7506
Y 7.5251 0.0000 4.2963
Y 11.0894 0.0000 4.8420
Y 11.7424 0.0000 8.2619
Ho 0.7590 0.0000 2.9547
Ho 5.5552 2.8062 2.6885
Ho 5.1689 1.6359 6.5471
Ho 9.4950 2.8062 5.9041
Ho 6.6445 0.0000 1.0910
Ho 9.8813 1.6359 2.0455
Ho 5.1689 -1.6359 6.5471
Ho 8.4057 0.0000 7.5016
Ho 5.5552 -2.8062 2.6885
Ho 9.8813 -1.6359 2.0455
Ho 9.4950 -2.8062 5.9041
Ho 14.2913 0.0000 5.6379
```

Computed properties:
E_form	0.1391	eV/atom
energy above the most stable polymorph in this dataset	0	meV/atom


(2)
Here is crystalline YTlSb2 at its relaxed geometry from Alexandria. Energies are from PBE.

Geometry as extended XYZ:
```
4
Lattice="-2.1350 2.3948 5.4070 2.1350 -2.3948 5.4070 2.1350 2.3948 -5.4070" Properties=species:S:1:pos:R:3 pbc="T T T"
Y 0.0000 0.0000 0.0000
Tl 0.0000 2.3948 2.6863
Sb 2.1350 0.0000 2.8642
Sb 0.0000 0.0000 5.4189
```

Computed properties:
ΔE_f (raw)	-1.55	eV/f.u.
energy above the most stable polymorph in this dataset	107	meV/atom


(3)
Here is crystalline K2SbOs at its relaxed geometry from Alexandria. Energies are from PBE.

Geometry as extended XYZ:
```
4
Lattice="2.9408 0.0000 0.0000 0.0000 5.5997 0.0000 -0.0043 0.0000 5.9203" Properties=species:S:1:pos:R:3 pbc="T T T"
K 0.0059 0.0000 1.5164
K 2.9305 0.0000 4.4039
Sb 1.4704 2.7998 0.0000
Os 1.4682 2.7998 2.9601
```

Computed properties:
ΔE_f (raw)	3.27	eV/f.u.


(4)
Here is crystalline TaBe2Ir at its relaxed geometry from Alexandria. Energies are from PBE.

Geometry as extended XYZ:
```
4
Lattice="2.8962 0.0000 0.0000 0.0000 3.9823 0.0000 0.0000 0.0000 4.6236" Properties=species:S:1:pos:R:3 pbc="T T T"
Ta 0.0000 0.0000 0.0000
Be 1.4481 1.9912 1.1134
Be 1.4481 1.9912 3.5102
Ir 1.4481 0.0000 2.3118
```

Computed properties:
E_form	-0.1921	eV/atom


(5)
Here is crystalline Sm8Ho3Er4 at its relaxed geometry from Alexandria. Energies are from PBE.

Geometry as extended XYZ:
```
15
Lattice="6.7211 -6.3833 0.0000 6.7211 6.3833 0.0000 -3.4341 0.0000 5.8736" Properties=species:S:1:pos:R:3 pbc="T T T"
Sm 6.7211 4.4949 0.0000
Sm 1.5394 0.0000 2.7340
Sm -0.2714 0.0000 5.8327
Sm 5.0040 3.1885 2.9368
Sm 5.0040 -3.1885 2.9368
Sm 10.2795 0.0000 0.0409
Sm 8.4687 0.0000 3.1396
Sm 6.7211 -4.4949 0.0000
Ho -1.7171 0.0000 2.9368
Ho 3.3606 3.1917 0.0000
Ho 3.3606 -3.1917 0.0000
Er 1.6435 3.1917 2.9368
Er 1.6435 -3.1917 2.9368
Er 6.7211 0.0000 0.0000
Er 5.0040 0.0000 2.9368
```

Computed properties:
E_form	0.3908	eV/atom


(6)
Here is crystalline InHAu3 at its relaxed geometry from Alexandria. Energies are from PBE.

Geometry as extended XYZ:
```
5
Lattice="5.2754 0.0000 0.0000 0.0000 5.2754 0.0000 0.0000 0.0000 5.2754" Properties=species:S:1:pos:R:3 pbc="T T T"
In 0.0000 0.0000 0.0000
H 2.6377 2.6377 2.6377
Au 0.0000 0.0000 2.6377
Au 0.0000 2.6377 0.0000
Au 2.6377 0.0000 0.0000
```

Computed properties:
energy above the most stable polymorph in this dataset	769	meV/atom


no.,uncorrected energy (eV/atom),volume (A^3/atom)
1,-5.08,31.91
2,-4.66,27.65
3,-3.57,24.37
4,-7.23,13.33
5,-4.26,33.60
6,-2.22,29.36